# 1
A relaxed HfUTa2C4 crystal, computed with GGA-PBE.

```
8
Lattice="-5.0402 4.2495 -8.9364 -7.5181 2.5477 -7.7659 -6.9476 5.5278 -6.6705" Properties=species:S:1:pos:R:3 pbc="T T T"
Hf -19.4231 12.2728 -23.2736
U -14.6493 9.2563 -17.5534
Ta -9.8247 6.2079 -11.7724
Ta -4.8588 3.0701 -5.8220
C -17.1045 10.8077 -20.4954
C -12.0977 7.6441 -14.4959
C -7.2263 4.5661 -8.6589
C -2.5922 1.6379 -3.1061
```

* energy relative to the elements: -0.61 eV per atom

=====

# 2
A relaxed CuHg2BS4 crystal, computed with GGA-PBE.

```
8
Lattice="-0.9385 -4.2318 -3.4522 3.2508 -3.2470 3.0972 -5.2359 2.3440 2.9966" Properties=species:S:1:pos:R:3 pbc="T T T"
Cu -4.4329 -3.4731 1.0130
Hg -2.3384 -2.9788 4.2884
Hg -1.9244 -0.6584 1.3295
B -0.7691 -4.3975 1.1526
S -2.2416 -3.2545 1.7220
S -0.6236 -4.4363 -0.7908
S 0.9358 -3.7261 1.8176
S -3.4582 1.3053 2.2169
```

* formation energy (no corrections): -1.72 eV/f.u.

=====

Magnetic moment (computed, μB/f.u.): 0.3, 0.0